Entry from Alexandria: crystalline Ti2SiPAu at its relaxed geometry (PBE).

Summary:
Uncorrected formation energy in eV per atom: 0.419
Space-group type: No. 123
D(E_F) in states/eV per atom: 0.67

abc: 4.6912 4.6912 4.3397
angles: 90.00 90.00 90.00
With the nearest neighbours (Å) after each atom.
Sites, in units of the cell vectors:
Ti 0.0000 0.5000 0.0000  2 Si 2.35
Ti 0.5000 0.0000 0.0000  2 Si 2.35
Si 0.0000 0.0000 0.0000  2 P 2.17, 4 Ti 2.35
P 0.0000 0.0000 0.5000  2 Si 2.17
Au 0.5000 0.5000 0.5000  8 Ti 3.20, 4 P 3.32